Computed, not measured: an optimized crystal structure of LaAl2As at the PBE-GGA level of DFT.

Lattice parameters (Å, degrees): 3.8943 3.8943 22.8086 90.00 90.00 120.00
Space group R3m (No. 160, hexagonal axes)
Unique sites:
La  0.0000  0.0000  0.0000 x3
Al  0.0000  0.0000  0.5210 x3
Al  0.0000  0.0000  0.7743 x3
As  0.0000  0.0000  0.2433 x3

Calculated values
The formation energy is -0.86 eV/f.u.



Computed, not measured: an optimized crystal structure of La2AlNiAs at the PBE-GGA level of DFT.

Lattice parameters (Å, degrees): 5.6927 5.6927 4.6409 90.00 90.00 90.00
Space group P4/mmm (No. 123)
Unique sites:
La  0.0000  0.5000  0.0000 x2
Al  0.0000  0.0000  0.5000 x1
Ni  0.5000  0.5000  0.5000 x1
As  0.0000  0.0000  0.0000 x1

Calculated values
The formation energy is 0.33 eV/f.u.



Computed, not measured: an optimized crystal structure of LaAlAsO5 at the PBE-GGA level of DFT.

Lattice parameters (Å, degrees): 7.1340 8.7802 7.4825 90.00 116.53 90.00
Space group C2/c (No. 15)
Unique sites:
La  0.0000  0.1824  0.2500 x4
Al  0.0000  0.5000  0.0000 x4
As  0.0000  0.2026  0.7500 x4
O  0.0000  0.4511  0.2500 x4
O  0.1069  0.2962  0.5781 x8
O  0.1933  0.0686  0.9059 x8

Calculated values
The calculation puts the formation energy (no corrections) at -2.332 eV/atom.



no.,V (A^3/atom)
1,24.96
2,30.08
3,13.10